Entry 1:
VASP calculation (PBE) on a relaxed NiHg2P2 crystal.

Cell: 5.6978 5.6978 6.0260 Å, 90.00 90.00 90.00°
With the nearest neighbours (Å) after each atom.
Fractional coordinates of all 10 atoms:
P (0.3645, 0.8645, 0.0000)  1 P 2.18, 2 Ni 2.22
Ni (0.5000, 0.5000, 0.0000)  4 P 2.22
Ni (0.0000, 0.0000, 0.0000)  4 P 2.22
P (0.6355, 0.1355, 0.0000)  1 P 2.18, 2 Ni 2.22
Hg (0.3161, 0.8161, 0.5000)  5 Hg 2.95-2.96, 2 P 3.04
Hg (0.1839, 0.3161, 0.5000)  5 Hg 2.95-2.96, 2 P 3.04
Hg (0.8161, 0.6839, 0.5000)  5 Hg 2.95-2.96, 2 P 3.04
P (0.8645, 0.6355, 0.0000)  1 P 2.18, 2 Ni 2.22
P (0.1355, 0.3645, 0.0000)  1 P 2.18, 2 Ni 2.22
Hg (0.6839, 0.1839, 0.5000)  5 Hg 2.95-2.96, 2 P 3.04

* calculated formation energy: -0.04 eV per atom
* size of the total moment: 0.0 μB per formula unit
* uncorrected energy: -3.481 eV/atom
* density: 8.86 g cm⁻³
* crystal system: tetragonal

Entry 2:
VASP calculation (PBE) on a relaxed SrPmAsO5 crystal.

Cell: 6.1371 6.1371 7.9514 Å, 102.55 102.55 106.87°
With the nearest neighbours (Å) after each atom.
Fractional coordinates of all 16 atoms:
Pm (0.0000, 0.0000, 0.5000)  6 O 2.21-2.44
O (0.4113, 0.2721, 0.0909)  1 As 1.73
O (0.8931, 0.3336, 0.1404)  1 As 1.73
As (0.3232, 0.6768, 0.7500)  4 O 1.73
Sr (0.3316, 0.6684, 0.2500)  1 O 2.29
O (0.0990, 0.9010, 0.2500)  2 Pm 2.21, 1 Sr 2.29
Sr (0.6684, 0.3316, 0.7500)  1 O 2.29
Pm (0.0000, 0.0000, 0.0000)  6 O 2.21-2.44
O (0.6664, 0.1069, 0.3596)  1 As 1.73
O (0.9010, 0.0990, 0.7500)  2 Pm 2.21, 1 Sr 2.29
As (0.6768, 0.3232, 0.2500)  4 O 1.73
O (0.3336, 0.8931, 0.6404)  1 As 1.73
O (0.5887, 0.7279, 0.9091)  1 As 1.73
O (0.1069, 0.6664, 0.8596)  1 As 1.73
O (0.2721, 0.4113, 0.5909)  1 As 1.73
O (0.7279, 0.5887, 0.4091)  1 As 1.73

* size of the total moment: 0.0 μB per formula unit
* uncorrected energy: -6.931 eV/atom
* density: 4.82 g cm⁻³
* crystal system: monoclinic
* energy relative to the elements, uncorrected: -2447 meV/atom

Entry 3:
VASP calculation (PBE) on a relaxed In2Ag2Se crystal.

Cell: 7.3325 7.3325 4.3285 Å, 90.00 90.00 90.00°
With the nearest neighbours (Å) after each atom.
Fractional coordinates of all 10 atoms:
In (0.3326, 0.1674, 0.5000)  6 Ag 2.98-3.11
In (0.6674, 0.8326, 0.5000)  6 Ag 2.98-3.11
Se (0.0000, 0.0000, 0.0000)  4 Ag 2.85
In (0.8326, 0.3326, 0.5000)  6 Ag 2.98-3.11
In (0.1674, 0.6674, 0.5000)  6 Ag 2.98-3.11
Ag (0.1356, 0.3644, 0.0000)  1 Ag 2.81, 2 Se 2.85, 6 In 2.98-3.11
Ag (0.3644, 0.8644, 0.0000)  1 Ag 2.81, 2 Se 2.85, 6 In 2.98-3.11
Ag (0.6356, 0.1356, 0.0000)  1 Ag 2.81, 2 Se 2.85, 6 In 2.98-3.11
Se (0.5000, 0.5000, 0.0000)  4 Ag 2.85
Ag (0.8644, 0.6356, 0.0000)  1 Ag 2.81, 2 Se 2.85, 6 In 2.98-3.11

* size of the total moment: 0.0 μB per formula unit
* uncorrected energy: -2.952 eV/atom
* density: 7.48 g cm⁻³
* crystal system: tetragonal
* energy relative to the elements, uncorrected: -19 meV/atom

Entry 4:
VASP calculation (PBE) on a relaxed CdGe crystal.

Cell: 2.9182 5.5441 5.5765 Å, 98.55 103.62 89.11°
With the nearest neighbours (Å) after each atom.
Fractional coordinates of all 4 atoms:
Ge (0.7045, 0.5434, 0.2053)  4 Ge 2.79-2.92, 3 Cd 2.87-2.95
Cd (0.4226, 0.5422, 0.6761)  3 Ge 2.87-2.95, 6 Cd 2.92-3.17
Ge (0.6399, 0.0353, 0.1465)  4 Ge 2.79-2.92, 3 Cd 2.87-2.95
Cd (0.9233, 0.0455, 0.6773)  3 Ge 2.87-2.95, 6 Cd 2.92-3.17

* calculated formation energy: 0.19 eV per atom
* size of the total moment: 0.0 μB per formula unit
* uncorrected energy: -2.581 eV/atom
* density: 7.09 g cm⁻³
* crystal system: triclinic

Entry 5:
VASP calculation (PBE) on a relaxed Ac6Co2Sn crystal.

Cell: 8.6364 9.4827 9.4827 Å, 63.87 74.79 74.79°
With the nearest neighbours (Å) after each atom.
Fractional coordinates of all 18 atoms:
Ac (0.6173, 0.6702, 0.5852)  2 Co 2.81-2.92
Ac (0.6207, 0.6497, 0.9931)  2 Co 2.83-2.99
Ac (0.8827, 0.4148, 0.3298)  2 Co 2.81-2.92
Ac (0.1466, 0.7423, 0.0712)  1 Co 2.84
Ac (0.8534, 0.2577, 0.9288)  1 Co 2.84
Ac (0.3827, 0.3298, 0.4148)  2 Co 2.81-2.92
Ac (0.1207, 0.9931, 0.6497)  2 Co 2.83-2.99
Sn (0.7500, 0.8832, 0.1168)  6 Ac 3.32-3.44
Co (0.3254, 0.6772, 0.8025)  5 Ac 2.81-2.99
Ac (0.6466, 0.0712, 0.7423)  1 Co 2.84
Sn (0.2500, 0.1168, 0.8832)  6 Ac 3.32-3.44
Co (0.1746, 0.1975, 0.3228)  5 Ac 2.81-2.99
Ac (0.3534, 0.9288, 0.2577)  1 Co 2.84
Ac (0.3793, 0.3503, 0.0069)  2 Co 2.83-2.99
Ac (0.1173, 0.5852, 0.6702)  2 Co 2.81-2.92
Co (0.8254, 0.8025, 0.6772)  5 Ac 2.81-2.99
Ac (0.8793, 0.0069, 0.3503)  2 Co 2.83-2.99
Co (0.6746, 0.3228, 0.1975)  5 Ac 2.81-2.99

* calculated formation energy: -0.02 eV per atom
* size of the total moment: 0.0 μB per formula unit
* uncorrected energy: -4.782 eV/atom
* density: 8.01 g cm⁻³
* crystal system: monoclinic

Entry 6:
VASP calculation (PBE) on a relaxed KPtSe2 crystal.

Cell: 4.9228 4.9228 4.9228 Å, 60.00 60.00 60.00°
With the nearest neighbours (Å) after each atom.
Fractional coordinates of all 4 atoms:
Se (0.2500, 0.2500, 0.2500)  4 K 3.01, 4 Pt 3.01
Pt (0.5000, 0.5000, 0.5000)  8 Se 3.01
K (0.0000, 0.0000, 0.0000)  8 Se 3.01
Se (0.7500, 0.7500, 0.7500)  4 Pt 3.01, 4 K 3.01

* size of the total moment: 0.0 μB per formula unit
* uncorrected energy: -3.407 eV/atom
* density: 7.72 g cm⁻³
* crystal system: cubic
* energy relative to the elements, uncorrected: 120 meV/atom

Entry 7:
VASP calculation (PBE) on a relaxed Ho3Tm6Th2Zr crystal.

Cell: 6.0289 6.0289 11.5675 Å, 95.01 95.01 119.99°
With the nearest neighbours (Å) after each atom.
Fractional coordinates of all 12 atoms:
Th (0.6667, 0.3333, 0.0000)  6 Tm 3.44-3.45, 3 Zr 3.48, 3 Th 3.48
Ho (0.1659, 0.8341, 0.5000)  6 Ho 3.47-3.49, 6 Tm 3.52-3.55
Ho (0.8341, 0.1659, 0.5000)  6 Ho 3.47-3.49, 6 Tm 3.52-3.55
Tm (0.5880, 0.9179, 0.7549)  1 Zr 3.43, 6 Tm 3.45-3.50, 2 Th 3.45, 3 Ho 3.52-3.55
Tm (0.7518, 0.7518, 0.2448)  1 Zr 3.43, 2 Th 3.44, 6 Tm 3.45-3.50, 3 Ho 3.52-3.55
Zr (0.0000, 0.0000, 0.0000)  6 Tm 3.43, 6 Th 3.48
Tm (0.0821, 0.4120, 0.2451)  1 Zr 3.43, 6 Tm 3.45-3.50, 2 Th 3.45, 3 Ho 3.52-3.55
Tm (0.4120, 0.0821, 0.2451)  1 Zr 3.43, 6 Tm 3.45-3.50, 2 Th 3.45, 3 Ho 3.52-3.55
Tm (0.2482, 0.2482, 0.7552)  1 Zr 3.43, 2 Th 3.44, 6 Tm 3.45-3.50, 3 Ho 3.52-3.55
Th (0.3333, 0.6667, 0.0000)  6 Tm 3.44-3.45, 3 Zr 3.48, 3 Th 3.48
Tm (0.9179, 0.5880, 0.7549)  1 Zr 3.43, 6 Tm 3.45-3.50, 2 Th 3.45, 3 Ho 3.52-3.55
Ho (0.5000, 0.5000, 0.5000)  6 Ho 3.48-3.49, 6 Tm 3.52-3.55

* calculated formation energy: 0.04 eV per atom
* size of the total moment: 0.0 μB per formula unit
* uncorrected energy: -5.288 eV/atom
* density: 9.56 g cm⁻³
* crystal system: monoclinic

Entry 8:
VASP calculation (PBE) on a relaxed NaPmSi crystal.

Cell: 4.4393 5.7524 7.3208 Å, 73.03 72.38 67.36°
With the nearest neighbours (Å) after each atom.
Fractional coordinates of all 6 atoms:
Si (0.9428, 0.7970, 0.1951)  1 Si 2.39
Pm (0.6493, 0.3553, 0.2234)  5 Si 2.98-3.21
Pm (0.4865, 0.9862, 0.9183)  5 Si 2.98-3.21
Si (0.1931, 0.5445, 0.9466)  1 Si 2.39
Na (0.8821, 0.4611, 0.6523)  3 Si 3.11-3.33, 2 Na 3.19
Na (0.2538, 0.8803, 0.4894)  3 Si 3.11-3.33, 2 Na 3.19

* size of the total moment: 0.0 μB per formula unit
* uncorrected energy: -4.092 eV/atom
* density: 4.04 g cm⁻³
* crystal system: monoclinic
* energy relative to the elements, uncorrected: -262 meV/atom